No. 1
GeIrOsS2: optimized geometry, GGA-PBE.

Unit cell a=4.5290 b=4.5290 c=4.7586 alpha=90.00 beta=90.00 gamma=90.00
With the nearest neighbours (Å) after each atom.
Space group P4/mmm (No. 123)
Asymmetric unit:
Ge 0.0000 0.0000 0.0000 [1 per cell]  2 Ir 2.38
Ir 0.0000 0.0000 0.5000 [1 per cell]  4 S 2.26, 2 Ge 2.38
Os 0.5000 0.5000 0.0000 [1 per cell]  4 Ge 3.20, 8 S 3.28
S 0.0000 0.5000 0.5000 [2 per cell]  2 Ir 2.26

Properties
As for the uncorrected energy: -25.8 eV per cell. The formation energy (no corrections) comes out at 1.427 eV/atom.

No. 2
Y12Ho2Er: optimized geometry, GGA-PBE.

Unit cell a=6.4164 b=6.4164 c=25.0732 alpha=90.00 beta=90.00 gamma=90.00
With the nearest neighbours (Å) after each atom.
Space group P4/nbm (No. 125, origin choice 2)
Asymmetric unit:
Y 0.0659 0.5659 0.1149 [8 per cell]  7 Y 3.32-3.44, 1 Er 3.33
Y 0.0813 0.5813 0.4386 [8 per cell]  6 Y 3.06-3.42
Y 0.2500 0.2500 0.2152 [4 per cell]  5 Y 3.09-3.44
Y 0.2500 0.2500 0.3386 [4 per cell]  5 Y 3.09-3.46
Ho 0.2500 0.7500 0.2742 [4 per cell]  8 Y 3.53-3.59
Er 0.2500 0.7500 0.0000 [2 per cell]  4 Y 3.33

Properties
As for the uncorrected energy: -172.1 eV per cell. The formation energy comes out at 0.350 eV per atom.

No. 3
Pr3MgCu2: optimized geometry, GGA-PBE.

Unit cell a=5.2699 b=15.6220 c=3.7209 alpha=90.00 beta=90.00 gamma=90.00
With the nearest neighbours (Å) after each atom.
Space group Cmmm (No. 65)
Asymmetric unit:
Pr 0.0000 0.0000 0.0000 [2 per cell]  4 Cu 3.04, 4 Mg 3.23
Pr 0.0000 0.3220 0.0000 [4 per cell]  6 Cu 3.22-3.25, 2 Mg 3.35, 2 Pr 3.47
Mg 0.0000 0.5000 0.5000 [2 per cell]  8 Pr 3.23-3.35, 4 Cu 3.57
Cu 0.0000 0.1539 0.5000 [4 per cell]  8 Pr 3.04-3.25

Properties
As for the uncorrected energy: -49.3 eV per cell. The formation energy comes out at -0.089 eV per atom. The offset from the most stable computed form is 0.11 eV/f.u.

No. 4
Dy4Pd3Pt2: optimized geometry, GGA-PBE.

Unit cell a=8.1848 b=4.7285 c=9.8183 alpha=90.00 beta=90.12 gamma=90.00
With the nearest neighbours (Å) after each atom.
Space group C2/m (No. 12)
Asymmetric unit:
Dy 0.0007 0.0000 0.3347 [4 per cell]  3 Pt 3.06, 7 Pd 3.12-3.29, 1 Dy 3.25
Dy 0.1667 0.5000 0.1099 [4 per cell]  4 Pt 2.85-2.98, 3 Pd 2.93-2.94
Pd 0.0000 0.0000 0.0000 [2 per cell]  8 Dy 2.93-3.29
Pd 0.1669 0.5000 0.5088 [4 per cell]  3 Pd 2.73-2.74, 1 Pt 2.92
Pt 0.1665 0.5000 0.8066 [4 per cell]  7 Dy 2.85-3.06, 1 Pd 2.92

Properties
As for the uncorrected energy: -109.6 eV per cell. The formation energy comes out at -0.969 eV per atom.

No. 5
MgIrOs: optimized geometry, GGA-PBE.

Unit cell a=2.7720 b=2.7720 c=12.0503 alpha=90.00 beta=90.00 gamma=90.00
With the nearest neighbours (Å) after each atom.
Space group I4mm (No. 107)
Asymmetric unit:
Mg 0.0000 0.0000 0.0000 [2 per cell]  4 Mg 2.77, 4 Ir 2.89, 4 Os 2.92
Ir 0.0000 0.0000 0.3243 [2 per cell]  4 Os 2.63, 4 Ir 2.77, 4 Mg 2.89
Os 0.0000 0.0000 0.6791 [2 per cell]  4 Ir 2.63, 4 Os 2.77, 4 Mg 2.92

Properties
As for the uncorrected energy: -43.7 eV per cell. The formation energy comes out at -0.062 eV per atom. The offset from the most stable computed form is 0.00 eV/f.u.

No. 6
CsRbSeS: optimized geometry, GGA-PBE.

Unit cell a=5.5108 b=5.5108 c=6.2498 alpha=90.00 beta=90.00 gamma=120.00
With the nearest neighbours (Å) after each atom.
Space group P3m1 (No. 156)
Asymmetric unit:
Cs 0.0000 0.0000 0.0000 [1 per cell]  3 S 3.71, 3 Se 3.78
Rb 0.6667 0.3333 0.5255 [1 per cell]  3 S 3.35, 3 Se 3.42
Se 0.3333 0.6667 0.3270 [1 per cell]  1 S 2.30
S 0.3333 0.6667 0.6951 [1 per cell]  1 Se 2.30

Properties
As for the uncorrected energy: -13.1 eV per cell. The formation energy (no corrections) comes out at -0.927 eV/atom.

No. 7
TiVHg2: optimized geometry, GGA-PBE.

Unit cell a=7.4835 b=7.4835 c=5.8055 alpha=90.00 beta=90.00 gamma=90.00
With the nearest neighbours (Å) after each atom.
Space group I-42d (No. 122)
Asymmetric unit:
Ti 0.0000 0.0000 0.0000 [4 per cell]  4 Hg 2.78, 2 V 2.90
V 0.0000 0.0000 0.5000 [4 per cell]  4 Hg 2.71, 2 Ti 2.90
Hg 0.2438 0.2500 0.6250 [8 per cell]  2 V 2.71, 2 Ti 2.78, 2 Hg 2.90

Properties
As for the uncorrected energy: -61.3 eV per cell. The formation energy comes out at 0.572 eV per atom. The offset from the most stable computed form is 1.33 eV/f.u.

No. 8
TbCeErS3: optimized geometry, GGA-PBE.

Unit cell a=7.5222 b=3.9143 c=9.9385 alpha=90.00 beta=101.36 gamma=90.00
With the nearest neighbours (Å) after each atom.
Space group P2_1/m (No. 11)
Asymmetric unit:
Tb 0.1878 0.2500 0.1188 [2 per cell]  5 S 2.72-2.93
Ce 0.1806 0.2500 0.7044 [2 per cell]  7 S 2.84-3.11
Er 0.3320 0.7500 0.4079 [2 per cell]  5 S 2.65-2.72
S 0.0910 0.2500 0.3852 [2 per cell]  2 Er 2.65, 2 Ce 2.84, 1 Tb 2.88
S 0.1918 0.7500 0.9293 [2 per cell]  3 Tb 2.72-2.80, 2 Ce 2.96
S 0.4686 0.7500 0.6817 [2 per cell]  3 Er 2.71-2.72, 1 Tb 2.93, 2 Ce 2.96

Properties
As for the uncorrected energy: -76.4 eV per cell. The formation energy (no corrections) comes out at -1.784 eV/atom.

No. 9
Pm3Dy2Y6Zr: optimized geometry, GGA-PBE.

Unit cell a=6.1575 b=10.6514 c=11.7263 alpha=90.00 beta=100.02 gamma=90.00
With the nearest neighbours (Å) after each atom.
Space group C2/m (No. 12)
Asymmetric unit:
Pm 0.0000 0.0000 0.0000 [2 per cell]  6 Pm 3.55-3.56, 6 Y 3.60-3.64
Pm 0.0000 0.3338 0.0000 [4 per cell]  6 Pm 3.54-3.56, 6 Y 3.60-3.64
Dy 0.0000 0.1669 0.5000 [4 per cell]  6 Y 3.48, 3 Zr 3.55, 3 Dy 3.55
Y 0.2439 0.3366 0.7425 [8 per cell]  1 Zr 3.45, 6 Y 3.48-3.59, 2 Dy 3.48, 3 Pm 3.60-3.64
Y 0.2460 0.5000 0.2579 [4 per cell]  1 Zr 3.44, 2 Dy 3.48, 6 Y 3.48-3.59, 3 Pm 3.60-3.64
Zr 0.0000 0.5000 0.5000 [2 per cell]  6 Y 3.44-3.45, 6 Dy 3.55

Properties
As for the uncorrected energy: -140.4 eV per cell. The formation energy comes out at 0.048 eV per atom.

No. 10
RbDyTi2O6: optimized geometry, GGA-PBE.

Unit cell a=10.9644 b=10.8580 c=6.4139 alpha=90.00 beta=109.45 gamma=90.00
With the nearest neighbours (Å) after each atom.
Space group C2/c (No. 15)
Asymmetric unit:
Rb 0.0000 0.0964 0.2500 [4 per cell]  6 O 2.71-2.96
Dy 0.0000 0.2802 0.7500 [4 per cell]  4 O 2.21
Ti 0.2021 0.4225 0.1563 [8 per cell]  4 O 1.75-1.92
O 0.0910 0.3014 0.1123 [8 per cell]  1 Ti 1.75
O 0.1357 0.1356 0.7214 [8 per cell]  1 Ti 1.80
O 0.1657 0.4577 0.8480 [8 per cell]  2 Ti 1.92

Properties
As for the uncorrected energy: -322.3 eV per cell. The formation energy (no corrections) comes out at -2.946 eV/atom.

No. 11
Pm2Cu12Ni3Hg: optimized geometry, GGA-PBE.

Unit cell a=8.6422 b=8.6422 c=12.4082 alpha=90.00 beta=90.00 gamma=120.00
With the nearest neighbours (Å) after each atom.
Space group R-3m (No. 166, hexagonal axes)
Asymmetric unit:
Pm 0.0000 0.0000 0.2446 [6 per cell]  3 Ni 2.73, 6 Cu 2.87-2.90
Cu 0.0022 0.5011 0.2056 [18 per cell]  5 Cu 2.42-2.66, 1 Hg 2.52, 1 Ni 2.55
Cu 0.0478 0.5239 0.6017 [18 per cell]  6 Cu 2.42-2.68
Ni 0.0000 0.5000 0.0000 [9 per cell]  6 Cu 2.55-2.81, 2 Pm 2.73
Hg 0.0000 0.0000 0.5000 [3 per cell]  6 Cu 2.52

Properties
As for the uncorrected energy: -223.4 eV per cell. The formation energy comes out at 0.101 eV per atom.

No. 12
Sm2Se5: optimized geometry, GGA-PBE.

Unit cell a=4.0341 b=43.2707 c=4.0341 alpha=90.00 beta=90.00 gamma=90.00
With the nearest neighbours (Å) after each atom.
Space group Cmcm (No. 63)
Asymmetric unit:
Sm 0.0000 0.1030 0.2500 [4 per cell]  9 Se 2.99-3.14
Sm 0.0000 0.3060 0.2500 [4 per cell]  9 Se 2.96-3.15
Se 0.0000 0.0487 0.7500 [4 per cell]  4 Se 2.85, 2 Sm 3.10
Se 0.0000 0.1756 0.2500 [4 per cell]  5 Sm 2.96-3.14
Se 0.0000 0.2500 0.7500 [4 per cell]  4 Se 2.85, 4 Sm 3.15
Se 0.0000 0.3759 0.2500 [4 per cell]  5 Sm 2.99-3.02
Se 0.0000 0.4513 0.7500 [4 per cell]  4 Se 2.85, 2 Sm 3.10

Properties
As for the uncorrected energy: -146.0 eV per cell. The formation energy (no corrections) comes out at -1.376 eV/atom.